# TlNi2Pb2 PBE-GGA relaxed
# **Distance to the lowest polymorph of the same formula**: 195.2 meV per atom
# **E_form**: 0.36 eV/atom
data_TlNi2Pb2
_cell_length_a 8.257
_cell_length_b 8.257
_cell_length_c 3.198
_cell_angle_alpha 90.00
_cell_angle_beta 90.00
_cell_angle_gamma 90.00
_space_group_name_H-M_alt 'P 4/m b m'
_space_group_IT_number 127
_space_group_name_Hall '-P 4 2ab'
loop_
_atom_site_label
_atom_site_fract_x
_atom_site_fract_y
_atom_site_fract_z
_atom_site_occupancy
Tl1 0.000 0.000 0.000 1
Ni1 0.129 0.371 0.500 1
Pb1 0.151 0.651 0.000 1

=====

# Pm3Pr4DyS8 PBE-GGA relaxed
# **Energy relative to the elements, uncorrected**: -32.3 eV/f.u.
data_Pm3Pr4DyS8
_cell_length_a 8.0916
_cell_length_b 8.0916
_cell_length_c 19.9626
_cell_angle_alpha 90.00
_cell_angle_beta 90.00
_cell_angle_gamma 120.00
_space_group_name_H-M_alt 'R -3 m'
_space_group_IT_number 166
_space_group_name_Hall '-R 3 2"'
loop_
_atom_site_label
_atom_site_fract_x
_atom_site_fract_y
_atom_site_fract_z
_atom_site_occupancy
Pm1 0.0000 0.5000 0.0000 1
Pr1 0.0000 0.0000 0.5000 1
Pr2 0.0000 0.5000 0.5000 1
Dy1 0.0000 0.0000 0.0000 1
S1 0.0000 0.0000 0.2523 1
S2 0.0063 0.5032 0.7462 1